Model i:
The following is a DFT calculation (PBE-GGA) of NbHgBi after structural relaxation.

Values from the calculation:
**Magnetic moment**: 0.0 μB per formula unit
**Calculated volume**: 26.84 Å³/atom
**Crystal system**: tetragonal
**Density of states at the Fermi level**: 1.58 states/eV/f.u.

Cell and atoms, written as CIF:
```
data_NbHgBi
_cell_length_a 3.5534
_cell_length_b 3.5534
_cell_length_c 12.7545
_cell_angle_alpha 90.00
_cell_angle_beta 90.00
_cell_angle_gamma 90.00
_space_group_name_H-M_alt 'P 4/n m m'
_space_group_IT_number 129
loop_
_space_group_symop_operation_xyz
'x,y,z'
'-x,-y,-z'
'-y+1/2,x,z'
'y+1/2,-x,-z'
'-x+1/2,-y+1/2,z'
'x+1/2,y+1/2,-z'
'y,-x+1/2,z'
'-y,x+1/2,-z'
'x+1/2,-y,-z'
'-x+1/2,y,z'
'-y,-x,-z'
'y,x,z'
'-x,y+1/2,-z'
'x,-y+1/2,z'
'y+1/2,x+1/2,-z'
'-y+1/2,-x+1/2,z'
loop_
_atom_site_label
_atom_site_type_symbol
_atom_site_fract_x
_atom_site_fract_y
_atom_site_fract_z
Nb1 Nb 0.2500 0.2500 0.0545
Hg1 Hg 0.2500 0.2500 0.4064
Bi1 Bi 0.2500 0.2500 0.8098
```

=====

Model ii:
The following is a DFT calculation (PBE-GGA) of NbHgBi after structural relaxation.

Values from the calculation:
**Magnetic moment**: 0.0 μB per formula unit
**Calculated volume**: 24.94 Å³/atom
**Crystal system**: triclinic
**Density of states at the Fermi level**: 1.36 states/eV/f.u.

Cell and atoms, written as CIF:
```
data_NbHgBi
_cell_length_a 3.3816
_cell_length_b 5.6375
_cell_length_c 8.3163
_cell_angle_alpha 81.56
_cell_angle_beta 89.58
_cell_angle_gamma 72.73
_space_group_name_H-M_alt 'P -1'
_space_group_IT_number 2
loop_
_space_group_symop_operation_xyz
'x,y,z'
'-x,-y,-z'
loop_
_atom_site_label
_atom_site_type_symbol
_atom_site_fract_x
_atom_site_fract_y
_atom_site_fract_z
Nb1 Nb 0.1659 0.1690 0.4122
Hg1 Hg 0.3373 0.8117 0.9049
Bi1 Bi 0.4226 0.6649 0.3088
```

=====

Computed stability ranking, most favorable first: model i, model ii

=====

Model i:
The following is a DFT calculation (PBE-GGA) of NdHg2Bi2 after structural relaxation.

Values from the calculation:
**Magnetic moment**: 0.0 μB per formula unit
**Calculated volume**: 32.50 Å³/atom
**Crystal system**: hexagonal
**Density of states at the Fermi level**: 2.69 states/eV/f.u.

Cell and atoms, written as CIF:
```
data_NdHg2Bi2
_cell_length_a 5.3763
_cell_length_b 5.3763
_cell_length_c 12.9841
_cell_angle_alpha 90.00
_cell_angle_beta 90.00
_cell_angle_gamma 120.00
_space_group_name_H-M_alt 'P 63/m m c'
_space_group_IT_number 194
_space_group_name_Hall '-P 6c 2c'
loop_
_atom_site_label
_atom_site_type_symbol
_atom_site_fract_x
_atom_site_fract_y
_atom_site_fract_z
Nd1 Nd 0.0000 0.0000 0.2500
Hg1 Hg 0.0000 0.0000 0.0000
Hg2 Hg 0.3333 0.6667 0.2500
Bi1 Bi 0.3333 0.6667 0.6272
```

=====

Model ii:
The following is a DFT calculation (PBE-GGA) of NdHg2Bi2 after structural relaxation.

Values from the calculation:
**Magnetic moment**: 0.0 μB per formula unit
**Calculated volume**: 28.65 Å³/atom
**Crystal system**: monoclinic
**Density of states at the Fermi level**: 2.16 states/eV/f.u.

Cell and atoms, written as CIF:
```
data_NdHg2Bi2
_cell_length_a 26.1141
_cell_length_b 4.7270
_cell_length_c 4.6412
_cell_angle_alpha 90.00
_cell_angle_beta 90.07
_cell_angle_gamma 90.00
_space_group_name_H-M_alt 'C 1 2/m 1'
_space_group_IT_number 12
loop_
_space_group_symop_operation_xyz
'x,y,z'
'-x,-y,-z'
'-x,y,-z'
'x,-y,z'
'x+1/2,y+1/2,z'
'-x+1/2,-y+1/2,-z'
'-x+1/2,y+1/2,-z'
'x+1/2,-y+1/2,z'
loop_
_atom_site_label
_atom_site_type_symbol
_atom_site_fract_x
_atom_site_fract_y
_atom_site_fract_z
Nd1 Nd 0.1450 0.0000 0.2495
Hg1 Hg 0.0424 0.0000 0.7499
Hg2 Hg 0.0447 0.5000 0.2497
Bi1 Bi 0.1396 0.5000 0.7495
Bi2 Bi 0.2501 0.0000 0.7500
```

=====

Computed stability ranking, most favorable first: model ii, model i

=====

Model i:
The following is a DFT calculation (PBE-GGA) of Nd2HgBi after structural relaxation.

Values from the calculation:
**Magnetic moment**: 0.0 μB per formula unit
**Calculated volume**: 32.36 Å³/atom
**Crystal system**: orthorhombic
**Density of states at the Fermi level**: 2.97 states/eV/f.u.

Cell and atoms, written as CIF:
```
data_Nd2HgBi
_cell_length_a 4.3482
_cell_length_b 24.9768
_cell_length_c 4.7681
_cell_angle_alpha 90.00
_cell_angle_beta 90.00
_cell_angle_gamma 90.00
_space_group_name_H-M_alt 'C m c m'
_space_group_IT_number 63
_space_group_name_Hall '-C 2c 2'
loop_
_atom_site_label
_atom_site_type_symbol
_atom_site_fract_x
_atom_site_fract_y
_atom_site_fract_z
Nd1 Nd 0.0000 0.0622 0.2500
Nd2 Nd 0.0000 0.3183 0.2500
Hg1 Hg 0.0000 0.4569 0.2500
Bi1 Bi 0.0000 0.1888 0.2500
```

=====

Model ii:
The following is a DFT calculation (PBE-GGA) of Nd2HgBi after structural relaxation.

Values from the calculation:
**Magnetic moment**: 0.7 μB per formula unit
**Calculated volume**: 29.78 Å³/atom
**Crystal system**: tetragonal
**Density of states at the Fermi level**: 3.08 states/eV/f.u.

Cell and atoms, written as CIF:
```
data_Nd2HgBi
_cell_length_a 4.0992
_cell_length_b 4.0992
_cell_length_c 7.0881
_cell_angle_alpha 90.00
_cell_angle_beta 90.00
_cell_angle_gamma 90.00
_space_group_name_H-M_alt 'P 4/m m m'
_space_group_IT_number 123
_space_group_name_Hall '-P 4 2'
loop_
_atom_site_label
_atom_site_type_symbol
_atom_site_fract_x
_atom_site_fract_y
_atom_site_fract_z
Nd1 Nd 0.0000 0.0000 0.2502
Hg1 Hg 0.5000 0.5000 0.0000
Bi1 Bi 0.5000 0.5000 0.5000
```

=====

Model iii:
The following is a DFT calculation (PBE-GGA) of Nd2HgBi after structural relaxation.

Values from the calculation:
**Magnetic moment**: 0.0 μB per formula unit
**Calculated volume**: 29.64 Å³/atom
**Crystal system**: cubic
**Density of states at the Fermi level**: 3.06 states/eV/f.u.

Cell and atoms, written as CIF:
```
data_Nd2HgBi
_cell_length_a 7.7986
_cell_length_b 7.7986
_cell_length_c 7.7986
_cell_angle_alpha 90.00
_cell_angle_beta 90.00
_cell_angle_gamma 90.00
_space_group_name_H-M_alt 'F m -3 m'
_space_group_IT_number 225
_space_group_name_Hall '-F 4 2 3'
loop_
_atom_site_label
_atom_site_type_symbol
_atom_site_fract_x
_atom_site_fract_y
_atom_site_fract_z
Nd1 Nd 0.2500 0.2500 0.2500
Hg1 Hg 0.0000 0.0000 0.0000
Bi1 Bi 0.0000 0.0000 0.5000
```

=====

Model iv:
The following is a DFT calculation (PBE-GGA) of Nd2HgBi after structural relaxation.

Values from the calculation:
**Magnetic moment**: 0.0 μB per formula unit
**Calculated volume**: 33.61 Å³/atom
**Crystal system**: trigonal
**Density of states at the Fermi level**: 3.89 states/eV/f.u.

Cell and atoms, written as CIF:
```
data_Nd2HgBi
_cell_length_a 4.3706
_cell_length_b 4.3706
_cell_length_c 24.3819
_cell_angle_alpha 90.00
_cell_angle_beta 90.00
_cell_angle_gamma 120.00
_space_group_name_H-M_alt 'R 3 m'
_space_group_IT_number 160
_space_group_name_Hall 'R 3 -2"'
loop_
_atom_site_label
_atom_site_type_symbol
_atom_site_fract_x
_atom_site_fract_y
_atom_site_fract_z
Nd1 Nd 0.0000 0.0000 0.0000
Nd2 Nd 0.0000 0.0000 0.1730
Hg1 Hg 0.0000 0.0000 0.7542
Bi1 Bi 0.0000 0.0000 0.5859
```

=====

Computed stability ranking, most favorable first: model i, model ii, model iii, model iv

=====

Model i:
The following is a DFT calculation (PBE-GGA) of NdHgBi2 after structural relaxation.

Values from the calculation:
**Magnetic moment**: 0.0 μB per formula unit
**Calculated volume**: 29.42 Å³/atom
**Crystal system**: tetragonal
**Density of states at the Fermi level**: 1.96 states/eV/f.u.

Cell and atoms, written as CIF:
```
data_NdHgBi2
_cell_length_a 4.6906
_cell_length_b 4.6906
_cell_length_c 10.6985
_cell_angle_alpha 90.00
_cell_angle_beta 90.00
_cell_angle_gamma 90.00
_space_group_name_H-M_alt 'P 4/n m m'
_space_group_IT_number 129
loop_
_space_group_symop_operation_xyz
'x,y,z'
'-x,-y,-z'
'-y+1/2,x,z'
'y+1/2,-x,-z'
'-x+1/2,-y+1/2,z'
'x+1/2,y+1/2,-z'
'y,-x+1/2,z'
'-y,x+1/2,-z'
'x+1/2,-y,-z'
'-x+1/2,y,z'
'-y,-x,-z'
'y,x,z'
'-x,y+1/2,-z'
'x,-y+1/2,z'
'y+1/2,x+1/2,-z'
'-y+1/2,-x+1/2,z'
loop_
_atom_site_label
_atom_site_type_symbol
_atom_site_fract_x
_atom_site_fract_y
_atom_site_fract_z
Nd1 Nd 0.2500 0.2500 0.2482
Hg1 Hg 0.2500 0.7500 0.5000
Bi1 Bi 0.2500 0.2500 0.7247
Bi2 Bi 0.2500 0.7500 0.0000
```

=====

Model ii:
The following is a DFT calculation (PBE-GGA) of NdHgBi2 after structural relaxation.

Values from the calculation:
**Magnetic moment**: 0.0 μB per formula unit
**Calculated volume**: 43.15 Å³/atom
**Crystal system**: trigonal
**Density of states at the Fermi level**: 1.35 states/eV/f.u.

Cell and atoms, written as CIF:
```
data_NdHgBi2
_cell_length_a 4.6273
_cell_length_b 4.6273
_cell_length_c 27.9229
_cell_angle_alpha 90.00
_cell_angle_beta 90.00
_cell_angle_gamma 120.00
_space_group_name_H-M_alt 'R -3 m'
_space_group_IT_number 166
_space_group_name_Hall '-R 3 2"'
loop_
_atom_site_label
_atom_site_type_symbol
_atom_site_fract_x
_atom_site_fract_y
_atom_site_fract_z
Nd1 Nd 0.0000 0.0000 0.0000
Hg1 Hg 0.0000 0.0000 0.5000
Bi1 Bi 0.0000 0.0000 0.3990
```

=====

Model iii:
The following is a DFT calculation (PBE-GGA) of NdHgBi2 after structural relaxation.

Values from the calculation:
**Magnetic moment**: 0.0 μB per formula unit
**Calculated volume**: 31.21 Å³/atom
**Crystal system**: tetragonal
**Density of states at the Fermi level**: 2.78 states/eV/f.u.

Cell and atoms, written as CIF:
```
data_NdHgBi2
_cell_length_a 4.3417
_cell_length_b 4.3417
_cell_length_c 6.6228
_cell_angle_alpha 90.00
_cell_angle_beta 90.00
_cell_angle_gamma 90.00
_space_group_name_H-M_alt 'P 4/m m m'
_space_group_IT_number 123
_space_group_name_Hall '-P 4 2'
loop_
_atom_site_label
_atom_site_type_symbol
_atom_site_fract_x
_atom_site_fract_y
_atom_site_fract_z
Nd1 Nd 0.0000 0.0000 0.0000
Hg1 Hg 0.0000 0.0000 0.5000
Bi1 Bi 0.5000 0.5000 0.2320
```

=====

Computed stability ranking, most favorable first: model i, model iii, model ii

=====

Model i:
The following is a DFT calculation (PBE-GGA) of NdHgBi after structural relaxation.

Values from the calculation:
**Magnetic moment**: 0.0 μB per formula unit
**Calculated volume**: 30.63 Å³/atom
**Crystal system**: monoclinic
**Density of states at the Fermi level**: 1.95 states/eV/f.u.

Cell and atoms, written as CIF:
```
data_NdHgBi
_cell_length_a 11.7922
_cell_length_b 4.5600
_cell_length_c 7.2818
_cell_angle_alpha 90.00
_cell_angle_beta 110.17
_cell_angle_gamma 90.00
_space_group_name_H-M_alt 'C 1 2/m 1'
_space_group_IT_number 12
loop_
_space_group_symop_operation_xyz
'x,y,z'
'-x,-y,-z'
'-x,y,-z'
'x,-y,z'
'x+1/2,y+1/2,z'
'-x+1/2,-y+1/2,-z'
'-x+1/2,y+1/2,-z'
'x+1/2,-y+1/2,z'
loop_
_atom_site_label
_atom_site_type_symbol
_atom_site_fract_x
_atom_site_fract_y
_atom_site_fract_z
Nd1 Nd 0.1696 0.0000 0.1662
Hg1 Hg 0.1475 0.0000 0.5969
Bi1 Bi 0.0384 0.5000 0.8048
```

=====

Model ii:
The following is a DFT calculation (PBE-GGA) of NdHgBi after structural relaxation.

Values from the calculation:
**Magnetic moment**: 0.0 μB per formula unit
**Calculated volume**: 35.34 Å³/atom
**Crystal system**: cubic
**Density of states at the Fermi level**: 0.18 states/eV/f.u.

Cell and atoms, written as CIF:
```
data_NdHgBi
_cell_length_a 7.5133
_cell_length_b 7.5133
_cell_length_c 7.5133
_cell_angle_alpha 90.00
_cell_angle_beta 90.00
_cell_angle_gamma 90.00
_space_group_name_H-M_alt 'F -4 3 m'
_space_group_IT_number 216
_space_group_name_Hall 'F -4 2 3'
loop_
_atom_site_label
_atom_site_type_symbol
_atom_site_fract_x
_atom_site_fract_y
_atom_site_fract_z
Nd1 Nd 0.0000 0.0000 0.0000
Hg1 Hg 0.2500 0.2500 0.7500
Bi1 Bi 0.2500 0.2500 0.2500
```

=====

Model iii:
The following is a DFT calculation (PBE-GGA) of NdHgBi after structural relaxation.

Values from the calculation:
**Magnetic moment**: 0.0 μB per formula unit
**Calculated volume**: 30.53 Å³/atom
**Crystal system**: trigonal
**Density of states at the Fermi level**: 0.15 states/eV/f.u.

Cell and atoms, written as CIF:
```
data_NdHgBi
_cell_length_a 4.8837
_cell_length_b 4.8837
_cell_length_c 4.4343
_cell_angle_alpha 90.00
_cell_angle_beta 90.00
_cell_angle_gamma 120.00
_space_group_name_H-M_alt 'P 3 m 1'
_space_group_IT_number 156
loop_
_space_group_symop_operation_xyz
'x,y,z'
'-y,x-y,z'
'-x+y,-x,z'
'-y,-x,z'
'-x+y,y,z'
'x,x-y,z'
loop_
_atom_site_label
_atom_site_type_symbol
_atom_site_fract_x
_atom_site_fract_y
_atom_site_fract_z
Nd1 Nd 0.0000 0.0000 0.0000
Hg1 Hg 0.6667 0.3333 0.2869
Bi1 Bi 0.3333 0.6667 0.5820
```

=====

Model iv:
The following is a DFT calculation (PBE-GGA) of NdHgBi after structural relaxation.

Values from the calculation:
**Magnetic moment**: 0.0 μB per formula unit
**Calculated volume**: 30.44 Å³/atom
**Crystal system**: tetragonal
**Density of states at the Fermi level**: 0.97 states/eV/f.u.

Cell and atoms, written as CIF:
```
data_NdHgBi
_cell_length_a 4.3570
_cell_length_b 4.3570
_cell_length_c 9.6207
_cell_angle_alpha 90.00
_cell_angle_beta 90.00
_cell_angle_gamma 90.00
_space_group_name_H-M_alt 'I 4 m m'
_space_group_IT_number 107
_space_group_name_Hall 'I 4 -2'
loop_
_atom_site_label
_atom_site_type_symbol
_atom_site_fract_x
_atom_site_fract_y
_atom_site_fract_z
Nd1 Nd 0.0000 0.0000 0.0000
Hg1 Hg 0.0000 0.0000 0.6751
Bi1 Bi 0.0000 0.0000 0.3476
```

=====

Computed stability ranking, most favorable first: model iii, model i, model iv, model ii

=====

Model i:
The following is a DFT calculation (PBE-GGA) of NdTlHgBi after structural relaxation.

Values from the calculation:
**Magnetic moment**: 0.0 μB per formula unit
**Calculated volume**: 30.12 Å³/atom
**Crystal system**: cubic
**Density of states at the Fermi level**: 2.23 states/eV/f.u.

Cell and atoms, written as CIF:
```
data_NdTlHgBi
_cell_length_a 7.8397
_cell_length_b 7.8397
_cell_length_c 7.8397
_cell_angle_alpha 90.00
_cell_angle_beta 90.00
_cell_angle_gamma 90.00
_space_group_name_H-M_alt 'F -4 3 m'
_space_group_IT_number 216
_space_group_name_Hall 'F -4 2 3'
loop_
_atom_site_label
_atom_site_type_symbol
_atom_site_fract_x
_atom_site_fract_y
_atom_site_fract_z
Nd1 Nd 0.0000 0.0000 0.0000
Tl1 Tl 0.0000 0.0000 0.5000
Hg1 Hg 0.2500 0.2500 0.7500
Bi1 Bi 0.2500 0.2500 0.2500
```

=====

Model ii:
The following is a DFT calculation (PBE-GGA) of NdTlHgBi after structural relaxation.

Values from the calculation:
**Magnetic moment**: 0.0 μB per formula unit
**Calculated volume**: 28.73 Å³/atom
**Crystal system**: orthorhombic
**Density of states at the Fermi level**: 2.39 states/eV/f.u.

Cell and atoms, written as CIF:
```
data_NdTlHgBi
_cell_length_a 4.6232
_cell_length_b 4.8118
_cell_length_c 5.1664
_cell_angle_alpha 90.00
_cell_angle_beta 90.00
_cell_angle_gamma 90.00
_space_group_name_H-M_alt 'P m m m'
_space_group_IT_number 47
loop_
_space_group_symop_operation_xyz
'x,y,z'
'-x,-y,-z'
'-x,-y,z'
'x,y,-z'
'x,-y,-z'
'-x,y,z'
'-x,y,-z'
'x,-y,z'
loop_
_atom_site_label
_atom_site_type_symbol
_atom_site_fract_x
_atom_site_fract_y
_atom_site_fract_z
Nd1 Nd 0.0000 0.0000 0.0000
Tl1 Tl 0.0000 0.5000 0.5000
Hg1 Hg 0.5000 0.0000 0.5000
Bi1 Bi 0.5000 0.5000 0.0000
```

=====

Computed stability ranking, most favorable first: model ii, model i